VASP calculation (GGA-PBE) on an optimized crystal structure of IrSe2O2.

The structure in CIF format:
```
data_IrSe2O2
_chemical_formula_sum 'Ir2 Se4 O4'
_symmetry_space_group_name_H-M 'I 4/m m m'
_symmetry_Int_Tables_number 139
_symmetry_space_group_name_Hall '-I 4 2'
_cell_length_a 4.487
_cell_length_b 4.487
_cell_length_c 6.825
_cell_angle_alpha 90.00
_cell_angle_beta 90.00
_cell_angle_gamma 90.00
loop_
_atom_site_label
_atom_site_type_symbol
_atom_site_fract_x
_atom_site_fract_y
_atom_site_fract_z
Ir1 Ir 0.000 0.000 0.000
Se1 Se 0.000 0.500 0.250
O1 O 0.000 0.000 0.405
```

Properties
V, Å³/cell: 137.4
Relative energy among the computed polymorphs, eV per formula unit: 0.00
Total DFT energy (no corrections), eV/atom: -4.61


VASP calculation (GGA-PBE) on an optimized crystal structure of SrIrSe2O.

The structure in CIF format:
```
data_SrIrSe2O
_chemical_formula_sum 'Sr1 Ir1 Se2 O1'
_symmetry_space_group_name_H-M 'P 4/m m m'
_symmetry_Int_Tables_number 123
_symmetry_space_group_name_Hall '-P 4 2'
_cell_length_a 4.603
_cell_length_b 4.603
_cell_length_c 4.588
_cell_angle_alpha 90.00
_cell_angle_beta 90.00
_cell_angle_gamma 90.00
loop_
_atom_site_label
_atom_site_type_symbol
_atom_site_fract_x
_atom_site_fract_y
_atom_site_fract_z
Sr1 Sr 0.000 0.000 0.000
Ir1 Ir 0.500 0.500 0.000
Se1 Se 0.000 0.500 0.500
O1 O 0.000 0.000 0.500
```

Properties
V, Å³/cell: 97.2
Total DFT energy (no corrections), eV/atom: -4.46


VASP calculation (GGA-PBE) on an optimized crystal structure of SrIrSe2O8.

The structure in CIF format:
```
data_SrIrSe2O8
_chemical_formula_sum 'Sr3 Ir3 Se6 O24'
_symmetry_space_group_name_H-M 'R -3'
_symmetry_Int_Tables_number 148
_symmetry_space_group_name_Hall '-R 3'
_cell_length_a 5.3355
_cell_length_b 5.3355
_cell_length_c 19.7856
_cell_angle_alpha 90.00
_cell_angle_beta 90.00
_cell_angle_gamma 120.00
loop_
_atom_site_label
_atom_site_type_symbol
_atom_site_fract_x
_atom_site_fract_y
_atom_site_fract_z
Sr1 Sr 0.0000 0.0000 0.0000
Ir1 Ir 0.0000 0.0000 0.5000
Se1 Se 0.0000 0.0000 0.2257
O1 O 0.0000 0.0000 0.3101
O2 O 0.0193 0.3762 0.2227
```

Properties
V, Å³/cell: 487.8
Total DFT energy (no corrections), eV/atom: -5.75


VASP calculation (GGA-PBE) on an optimized crystal structure of TcIrSeO2.

The structure in CIF format:
```
data_TcIrSeO2
_chemical_formula_sum 'Tc1 Ir1 Se1 O2'
_symmetry_space_group_name_H-M 'P 4/m m m'
_symmetry_Int_Tables_number 123
_symmetry_space_group_name_Hall '-P 4 2'
_cell_length_a 3.703
_cell_length_b 3.703
_cell_length_c 5.756
_cell_angle_alpha 90.00
_cell_angle_beta 90.00
_cell_angle_gamma 90.00
loop_
_atom_site_label
_atom_site_type_symbol
_atom_site_fract_x
_atom_site_fract_y
_atom_site_fract_z
Tc1 Tc 0.000 0.000 0.000
Ir1 Ir 0.000 0.000 0.500
Se1 Se 0.500 0.500 0.000
O1 O 0.000 0.500 0.500
```

Properties
V, Å³/cell: 78.9
Total DFT energy (no corrections), eV/atom: -6.53


VASP calculation (GGA-PBE) on an optimized crystal structure of TlIrSe2O8.

The structure in CIF format:
```
data_TlIrSe2O8
_chemical_formula_sum 'Tl2 Ir2 Se4 O16'
_symmetry_space_group_name_H-M 'C 1 2/m 1'
_symmetry_Int_Tables_number 12
_cell_length_a 8.502
_cell_length_b 5.545
_cell_length_c 8.402
_cell_angle_alpha 90.00
_cell_angle_beta 95.55
_cell_angle_gamma 90.00
loop_
_symmetry_equiv_pos_as_xyz
'x,y,z'
'-x,-y,-z'
'-x,y,-z'
'x,-y,z'
'x+1/2,y+1/2,z'
'-x+1/2,-y+1/2,-z'
'-x+1/2,y+1/2,-z'
'x+1/2,-y+1/2,z'
loop_
_atom_site_label
_atom_site_type_symbol
_atom_site_fract_x
_atom_site_fract_y
_atom_site_fract_z
Tl1 Tl 0.000 0.000 0.000
Ir1 Ir 0.000 0.000 0.500
Se1 Se 0.128 0.500 0.315
O1 O 0.004 0.251 0.322
O2 O 0.190 0.500 0.136
O3 O 0.240 0.000 0.516
```

Properties
V, Å³/cell: 394.2
Total DFT energy (no corrections), eV/atom: -5.43


VASP calculation (GGA-PBE) on an optimized crystal structure of Zn2IrSeO.

The structure in CIF format:
```
data_Zn2IrSeO
_chemical_formula_sum 'Zn2 Ir1 Se1 O1'
_symmetry_space_group_name_H-M 'P 4/m m m'
_symmetry_Int_Tables_number 123
_symmetry_space_group_name_Hall '-P 4 2'
_cell_length_a 4.900
_cell_length_b 4.900
_cell_length_c 4.500
_cell_angle_alpha 90.00
_cell_angle_beta 90.00
_cell_angle_gamma 90.00
loop_
_atom_site_label
_atom_site_type_symbol
_atom_site_fract_x
_atom_site_fract_y
_atom_site_fract_z
Zn1 Zn 0.000 0.500 0.000
Ir1 Ir 0.000 0.000 0.000
Se1 Se 0.000 0.000 0.500
O1 O 0.500 0.500 0.500
```

Properties
V, Å³/cell: 108.0
Total DFT energy (no corrections), eV/atom: -3.43


VASP calculation (GGA-PBE) on an optimized crystal structure of SiIrO3.

The structure in CIF format:
```
data_SiIrO3
_chemical_formula_sum 'Si1 Ir1 O3'
_symmetry_space_group_name_H-M 'P m -3 m'
_symmetry_Int_Tables_number 221
_symmetry_space_group_name_Hall '-P 4 2 3'
_cell_length_a 3.899
_cell_length_b 3.899
_cell_length_c 3.899
_cell_angle_alpha 90.00
_cell_angle_beta 90.00
_cell_angle_gamma 90.00
loop_
_atom_site_label
_atom_site_type_symbol
_atom_site_fract_x
_atom_site_fract_y
_atom_site_fract_z
Si1 Si 0.000 0.000 0.000
Ir1 Ir 0.500 0.500 0.500
O1 O 0.000 0.500 0.500
```

Properties
V, Å³/cell: 59.3
Total DFT energy (no corrections), eV/atom: -5.92


VASP calculation (GGA-PBE) on an optimized crystal structure of SiIrO2.

The structure in CIF format:
```
data_SiIrO2
_chemical_formula_sum 'Si4 Ir4 O8'
_symmetry_space_group_name_H-M 'I -4 2 d'
_symmetry_Int_Tables_number 122
_symmetry_space_group_name_Hall 'I -4 2bw'
_cell_length_a 5.095
_cell_length_b 5.095
_cell_length_c 7.686
_cell_angle_alpha 90.00
_cell_angle_beta 90.00
_cell_angle_gamma 90.00
loop_
_atom_site_label
_atom_site_type_symbol
_atom_site_fract_x
_atom_site_fract_y
_atom_site_fract_z
Si1 Si 0.000 0.000 0.000
Ir1 Ir 0.000 0.000 0.500
O1 O 0.063 0.250 0.125
```

Properties
V, Å³/cell: 199.5
Total DFT energy (no corrections), eV/atom: -6.74


VASP calculation (GGA-PBE) on an optimized crystal structure of Si3IrO.

The structure in CIF format:
```
data_Si3IrO
_chemical_formula_sum 'Si3 Ir1 O1'
_symmetry_space_group_name_H-M 'P m -3 m'
_symmetry_Int_Tables_number 221
_symmetry_space_group_name_Hall '-P 4 2 3'
_cell_length_a 4.572
_cell_length_b 4.572
_cell_length_c 4.572
_cell_angle_alpha 90.00
_cell_angle_beta 90.00
_cell_angle_gamma 90.00
loop_
_atom_site_label
_atom_site_type_symbol
_atom_site_fract_x
_atom_site_fract_y
_atom_site_fract_z
Si1 Si 0.000 0.000 0.500
Ir1 Ir 0.000 0.000 0.000
O1 O 0.500 0.500 0.500
```

Properties
V, Å³/cell: 95.6
Relative energy among the computed polymorphs, eV per formula unit: 2.17
Total DFT energy (no corrections), eV/atom: -5.52


VASP calculation (GGA-PBE) on an optimized crystal structure of Si3IrO.

The structure in CIF format:
```
data_Si3IrO
_chemical_formula_sum 'Si3 Ir1 O1'
_symmetry_space_group_name_H-M 'P m -3 m'
_symmetry_Int_Tables_number 221
_symmetry_space_group_name_Hall '-P 4 2 3'
_cell_length_a 3.990
_cell_length_b 3.990
_cell_length_c 3.990
_cell_angle_alpha 90.00
_cell_angle_beta 90.00
_cell_angle_gamma 90.00
loop_
_atom_site_label
_atom_site_type_symbol
_atom_site_fract_x
_atom_site_fract_y
_atom_site_fract_z
Si1 Si 0.000 0.000 0.500
Ir1 Ir 0.500 0.500 0.500
O1 O 0.000 0.000 0.000
```

Properties
V, Å³/cell: 63.5
Relative energy among the computed polymorphs, eV per formula unit: 0.00
Total DFT energy (no corrections), eV/atom: -5.95


VASP calculation (GGA-PBE) on an optimized crystal structure of SiIrO2.

The structure in CIF format:
```
data_SiIrO2
_chemical_formula_sum 'Si3 Ir3 O6'
_symmetry_space_group_name_H-M 'R -3 m'
_symmetry_Int_Tables_number 166
_symmetry_space_group_name_Hall '-R 3 2"'
_cell_length_a 2.6430
_cell_length_b 2.6430
_cell_length_c 29.7287
_cell_angle_alpha 90.00
_cell_angle_beta 90.00
_cell_angle_gamma 120.00
loop_
_atom_site_label
_atom_site_type_symbol
_atom_site_fract_x
_atom_site_fract_y
_atom_site_fract_z
Si1 Si 0.0000 0.0000 0.0000
Ir1 Ir 0.0000 0.0000 0.5000
O1 O 0.0000 0.0000 0.3646
```

Properties
V, Å³/cell: 179.9
Total DFT energy (no corrections), eV/atom: -7.47


VASP calculation (GGA-PBE) on an optimized crystal structure of SiIrO2.

The structure in CIF format:
```
data_SiIrO2
_chemical_formula_sum 'Si3 Ir3 O6'
_symmetry_space_group_name_H-M 'R -3 m'
_symmetry_Int_Tables_number 166
_symmetry_space_group_name_Hall '-R 3 2"'
_cell_length_a 3.1294
_cell_length_b 3.1294
_cell_length_c 17.6627
_cell_angle_alpha 90.00
_cell_angle_beta 90.00
_cell_angle_gamma 120.00
loop_
_atom_site_label
_atom_site_type_symbol
_atom_site_fract_x
_atom_site_fract_y
_atom_site_fract_z
Si1 Si 0.0000 0.0000 0.0000
Ir1 Ir 0.0000 0.0000 0.5000
O1 O 0.0000 0.0000 0.1100
```

Properties
V, Å³/cell: 149.8
Total DFT energy (no corrections), eV/atom: -6.40


VASP calculation (GGA-PBE) on an optimized crystal structure of SiIrO3.

The structure in CIF format:
```
data_SiIrO3
_chemical_formula_sum 'Si1 Ir1 O3'
_symmetry_space_group_name_H-M 'P m -3 m'
_symmetry_Int_Tables_number 221
_symmetry_space_group_name_Hall '-P 4 2 3'
_cell_length_a 3.587
_cell_length_b 3.587
_cell_length_c 3.587
_cell_angle_alpha 90.00
_cell_angle_beta 90.00
_cell_angle_gamma 90.00
loop_
_atom_site_label
_atom_site_type_symbol
_atom_site_fract_x
_atom_site_fract_y
_atom_site_fract_z
Si1 Si 0.000 0.000 0.000
Ir1 Ir 0.500 0.500 0.500
O1 O 0.000 0.000 0.500
```

Properties
V, Å³/cell: 46.2
Total DFT energy (no corrections), eV/atom: -6.43


VASP calculation (GGA-PBE) on an optimized crystal structure of SiTcIrO2.

The structure in CIF format:
```
data_SiTcIrO2
_chemical_formula_sum 'Si1 Tc1 Ir1 O2'
_symmetry_space_group_name_H-M 'P 4/m m m'
_symmetry_Int_Tables_number 123
_symmetry_space_group_name_Hall '-P 4 2'
_cell_length_a 3.649
_cell_length_b 3.649
_cell_length_c 5.814
_cell_angle_alpha 90.00
_cell_angle_beta 90.00
_cell_angle_gamma 90.00
loop_
_atom_site_label
_atom_site_type_symbol
_atom_site_fract_x
_atom_site_fract_y
_atom_site_fract_z
Si1 Si 0.000 0.000 0.000
Tc1 Tc 0.500 0.500 0.000
Ir1 Ir 0.500 0.500 0.500
O1 O 0.000 0.500 0.500
```

Properties
V, Å³/cell: 77.4
Total DFT energy (no corrections), eV/atom: -6.81


Across the entries above, energy relative to the elements, uncorrected takes the values 0.54, 0.03, -0.99, 0.00, -0.61, 0.54, -0.09, -0.69, 0.50, 0.07, -1.42, -0.35, -0.60, 0.11 eV/atom, respectively.
Across the entries above, total magnetic moment takes the values 0.00, 0.00, 0.64, 2.10, 0.00, 0.00, 0.00, 1.37, 0.00, 0.00, 0.77, 0.00, 3.01, 1.28 μB/f.u., respectively.